The following is a DFT calculation (GGA-PBE) of crystalline ZrCuP2 at its relaxed geometry.

Output
Total DFT energy (no corrections) in eV for the cell shown: -24.94
Energy of formation from the pure elements in kcal/mol of atoms: -8.52
Symmetry: P4/mmm

The structure in POSCAR format:
```
ZrCuP2
1.0
3.370 0.000 0.000
0.000 3.370 0.000
0.000 0.000 5.362
Zr Cu P
1 1 2
Cartesian
0.000 0.000 0.000 Zr
0.000 0.000 2.681 Cu
1.685 1.685 1.493 P
1.685 1.685 3.869 P
```



The following is a DFT calculation (GGA-PBE) of crystalline Zr2CuP at its relaxed geometry.

Output
Total DFT energy (no corrections) in eV for the cell shown: -28.33
Energy of formation from the pure elements in kcal/mol of atoms: -9.97
Symmetry: I-4m2

The structure in POSCAR format:
```
Zr2CuP
1.0
-1.925 1.925 4.707
1.925 -1.925 4.707
1.925 1.925 -4.707
Zr Cu P
2 1 1
Cartesian
0.000 0.000 0.000 Zr
0.000 1.925 2.354 Zr
1.925 0.000 2.354 Cu
0.000 0.000 4.707 P
```